1.
HoSc2Ga | the Alexandria database | GGA-PBE | relaxed; space-group type = P4/mmm, No. 123; final energy = -21.38 eV for the cell shown; volume = 22.69 Å³/atom
1.0
4.519 0.000 0.000
0.000 4.481 0.000
0.000 0.000 4.481
Sc Ho Ga
2 1 1
direct
0.000 0.000 0.500 Sc
0.000 0.500 0.000 Sc
0.500 0.500 0.500 Ho
0.500 0.000 0.000 Ga

=====

2.
Ho2ScGa3 | the Alexandria database | GGA-PBE | relaxed; space-group type = P-3m1, No. 164; final energy = -56.01 eV for the cell shown; volume = 21.33 Å³/atom
1.0
-4.664 0.812 1.391
1.028 -0.999 -4.721
-1.407 -11.855 2.202
Ho Sc Ga
4 2 6
direct
0.000 0.000 0.500 Ho
0.333 0.667 0.172 Ho
0.667 0.333 0.828 Ho
0.000 0.000 0.000 Ho
0.333 0.667 0.666 Sc
0.667 0.333 0.334 Sc
0.333 0.667 0.419 Ga
0.667 0.333 0.086 Ga
0.000 0.000 0.746 Ga
0.000 0.000 0.254 Ga
0.333 0.667 0.914 Ga
0.667 0.333 0.581 Ga

=====

3.
HoSc3Ga2 | the Alexandria database | GGA-PBE | relaxed; space-group type = Pmc2_1, No. 26; final energy = -64.78 eV for the cell shown; volume = 21.97 Å³/atom
1.0
4.608 0.000 0.000
0.000 6.359 0.000
0.000 0.000 9.000
Ho Sc Ga
2 6 4
direct
0.500 0.547 0.549 Ho
0.500 0.047 0.451 Ho
0.000 0.455 0.949 Sc
0.000 0.955 0.051 Sc
0.500 0.665 0.182 Sc
0.500 0.165 0.818 Sc
0.000 0.336 0.302 Sc
0.000 0.836 0.698 Sc
0.500 0.717 0.872 Ga
0.500 0.217 0.128 Ga
0.000 0.280 0.635 Ga
0.000 0.780 0.365 Ga

=====

4.
HoSc7Ga4 | the Alexandria database | GGA-PBE | relaxed; space-group type = C2/m, No. 12; final energy = -63.61 eV for the cell shown; volume = 21.94 Å³/atom
1.0
-3.031 -2.252 -3.433
5.004 -3.943 -5.624
-1.099 -6.630 1.527
Ho Sc Ga
1 7 4
direct
0.000 0.000 0.000 Ho
0.784 0.876 0.556 Sc
0.216 0.124 0.444 Sc
0.063 0.614 0.260 Sc
0.937 0.386 0.740 Sc
0.307 0.629 0.756 Sc
0.500 0.000 0.000 Sc
0.693 0.371 0.244 Sc
0.563 0.229 0.645 Ga
0.437 0.771 0.355 Ga
0.684 0.671 0.962 Ga
0.316 0.329 0.038 Ga